No. 1
VASP calculation (PBE-GGA) on a relaxed structure of LaYHg4.

Crystal system   cubic
Distance to the lowest polymorph of the same formula   15.2 kJ per mole of atoms

```
LaYHg4
1.0
0.000 4.264 4.264
4.264 0.000 4.264
4.264 4.264 0.000
La Y Hg
1 1 4
Direct
0.750 0.750 0.750
0.000 0.000 0.000
0.375 0.875 0.375
0.875 0.375 0.375
0.375 0.375 0.875
0.375 0.375 0.375
```


No. 2
VASP calculation (PBE-GGA) on a relaxed structure of LaYHg.

Crystal system   hexagonal
Distance to the lowest polymorph of the same formula   0.9 kJ per mole of atoms

```
LaYHg
1.0
4.853 0.000 0.000
0.000 7.059 -4.075
0.000 0.000 8.151
La Y Hg
3 3 3
Direct
0.500 0.000 0.606
0.500 0.394 0.394
0.500 0.606 0.000
0.000 0.000 0.266
0.000 0.734 0.734
0.000 0.266 0.000
0.500 0.000 0.000
0.000 0.667 0.333
0.000 0.333 0.667
```


No. 3
VASP calculation (PBE-GGA) on a relaxed structure of La2YHg.

Crystal system   monoclinic

```
La2YHg
1.0
-2.502 2.004 4.677
-3.040 -1.957 -0.788
1.141 -5.279 2.872
Hg La Y
1 2 1
Direct
0.500 0.750 0.750
0.000 0.937 0.979
0.000 0.563 0.521
0.500 0.250 0.250
```


No. 4
VASP calculation (PBE-GGA) on a relaxed structure of LaY2Hg2.

Crystal system   tetragonal
Distance to the lowest polymorph of the same formula   27.5 kJ per mole of atoms

```
LaY2Hg2
1.0
-1.006 2.254 4.089
-3.378 -3.239 0.954
2.498 -4.408 5.835
Y Hg La
2 2 1
Direct
0.381 0.381 0.238
0.619 0.619 0.762
0.750 0.250 0.500
0.250 0.750 0.500
0.000 0.000 0.000
```


No. 5
VASP calculation (PBE-GGA) on a relaxed structure of La2YHg.

Crystal system   orthorhombic

```
La2YHg
1.0
6.976 -0.010 0.007
3.836 5.827 -0.007
-4.920 -3.811 3.151
Y Hg La
1 1 2
Direct
0.750 0.250 0.500
0.250 0.750 0.500
0.035 0.035 0.000
0.465 0.465 0.000
```


No. 6
VASP calculation (PBE-GGA) on a relaxed structure of LaY2Hg.

Crystal system   tetragonal

```
LaY2Hg
1.0
-4.759 -3.436 -1.650
1.204 -5.949 0.588
0.605 4.772 3.747
Hg La Y
1 1 2
Direct
0.250 0.750 0.500
0.750 0.250 0.500
0.000 0.000 0.000
0.500 0.500 0.000
```


No. 7
VASP calculation (PBE-GGA) on a relaxed structure of LaY2Hg.

Crystal system   orthorhombic

```
LaY2Hg
1.0
6.652 0.000 0.000
0.000 9.504 0.000
0.000 0.000 8.036
La Y Hg
4 8 4
Direct
0.596 0.527 0.250
0.904 0.027 0.250
0.404 0.473 0.750
0.096 0.973 0.750
0.106 0.679 0.038
0.394 0.179 0.462
0.894 0.321 0.538
0.606 0.821 0.962
0.894 0.321 0.962
0.606 0.821 0.538
0.106 0.679 0.462
0.394 0.179 0.038
0.149 0.399 0.250
0.351 0.899 0.250
0.851 0.601 0.750
0.649 0.101 0.750
```


No. 8
VASP calculation (PBE-GGA) on a relaxed structure of LaY2Hg2.

Crystal system   monoclinic
Distance to the lowest polymorph of the same formula   0.0 kJ per mole of atoms

```
LaY2Hg2
1.0
3.743 0.000 -0.501
0.000 5.467 0.000
-0.024 0.000 14.032
La Y Hg
2 4 4
Direct
0.854 0.750 0.710
0.146 0.250 0.290
0.048 0.750 0.096
0.952 0.250 0.904
0.235 0.750 0.471
0.765 0.250 0.529
0.644 0.750 0.288
0.356 0.250 0.712
0.456 0.750 0.912
0.544 0.250 0.088
```


No. 9
VASP calculation (PBE-GGA) on a relaxed structure of La3Y2Hg2.

Crystal system   orthorhombic

```
La3Y2Hg2
1.0
5.016 0.000 0.666
0.000 3.602 0.000
0.964 0.000 11.971
La Y Hg
3 2 2
Direct
0.858 0.000 0.284
0.000 0.000 0.000
0.142 0.000 0.716
0.709 0.500 0.582
0.291 0.500 0.418
0.571 0.500 0.858
0.429 0.500 0.142
```


No. 10
VASP calculation (PBE-GGA) on a relaxed structure of LaYHg4.

Crystal system   orthorhombic
Distance to the lowest polymorph of the same formula   1.2 kJ per mole of atoms

```
LaYHg4
1.0
3.983 -0.006 -0.491
0.005 5.305 -0.021
-1.073 0.032 7.670
La Y Hg
1 1 4
Direct
0.357 0.497 0.959
0.147 0.997 0.538
0.811 0.997 0.867
0.485 0.997 0.214
0.026 0.497 0.299
0.683 0.497 0.612
```


No. 11
VASP calculation (PBE-GGA) on a relaxed structure of LaYHg.

Crystal system   tetragonal
Distance to the lowest polymorph of the same formula   0.0 kJ per mole of atoms

```
LaYHg
1.0
-2.815 6.342 -1.083
-3.002 4.589 -4.388
-3.691 -0.455 0.450
Y Hg La
1 1 1
Direct
0.354 0.354 0.646
0.989 0.989 0.011
0.657 0.657 0.343
```


No. 12
VASP calculation (PBE-GGA) on a relaxed structure of La2YHg.

Crystal system   tetragonal

```
La2YHg
1.0
6.197 0.001 0.000
2.425 5.703 0.000
-4.311 -2.852 3.418
Y Hg La
1 1 2
Direct
0.250 0.750 0.500
0.750 0.250 0.500
0.000 0.000 0.000
0.500 0.500 0.000
```


Total magnetic moment across the listed records, respectively: 0.00 0.00 0.00 0.13 0.00 0.00 0.00 0.00 0.00 0.00 0.26 0.00 μB per atom.
DFT total energy across the listed records, respectively: -2.3780 -4.2064 -4.2756 -3.7969 -4.3547 -4.6451 -4.7483 -4.0824 -4.1857 -2.5226 -4.2154 -4.3410 eV/atom.